Material: LiCd2InO4
Method: DFT, PBE-GGA
State: optimized geometry

Results
- formation energy (no corrections) (meV/atom) = -1320
- volume (Å³/atom) = 12.47
- electronic total energy (eV for the cell shown) = -73.74
- theoretical density (g cm⁻³) = 6.836
- magnetization (μB per formula unit) = 0.0
- crystal system = orthorhombic
- DOS(E_F) (states/eV/f.u.) = 2.2

a = 6.520 Å, b = 6.520 Å, c = 6.520 Å
α = 119.35°, β = 118.17°, γ = 92.16°
Fractional coordinates of all 16 atoms:
Li: 0.000 0.000 0.000
Li: 0.500 0.000 0.500
Cd: 0.000 0.500 0.500
Cd: 0.500 0.000 0.000
Cd: 0.500 0.500 0.000
Cd: 0.500 0.500 0.500
In: 0.000 0.000 0.500
In: 0.000 0.500 0.000
O: 0.220 0.239 0.981
O: 0.242 0.761 0.481
O: 0.243 0.243 0.500
O: 0.243 0.744 0.000
O: 0.757 0.256 0.000
O: 0.757 0.757 0.500
O: 0.758 0.239 0.519
O: 0.780 0.761 0.019